1.
# LaTb2, optimized geometry, DFT PBE
# ΔE_f: -0.01 eV per formula unit
# Calculated total energy: -4.732 eV per atom
data_LaTb2
_chemical_formula_sum 'La2 Tb4'
_symmetry_space_group_name_H-M 'C 1 2/m 1'
_symmetry_Int_Tables_number 12
_cell_length_a 6.332
_cell_length_b 3.651
_cell_length_c 8.975
_cell_angle_alpha 90.00
_cell_angle_beta 103.67
_cell_angle_gamma 90.00
loop_
_symmetry_equiv_pos_as_xyz
'x,y,z'
'-x,-y,-z'
'-x,y,-z'
'x,-y,z'
'x+1/2,y+1/2,z'
'-x+1/2,-y+1/2,-z'
'-x+1/2,y+1/2,-z'
'x+1/2,-y+1/2,z'
loop_
_atom_site_label
_atom_site_type_symbol
_atom_site_fract_x
_atom_site_fract_y
_atom_site_fract_z
La1 La 0.000 0.000 0.000
Tb1 Tb 0.220 0.000 0.662

=====

2.
# La3Tb, optimized geometry, DFT PBE
# ΔE_f: 0.54 eV per formula unit
# Calculated total energy: -4.719 eV per atom
data_La3Tb
_chemical_formula_sum 'La12 Tb4'
_symmetry_space_group_name_H-M 'F m -3 m'
_symmetry_Int_Tables_number 225
_symmetry_space_group_name_Hall '-F 4 2 3'
_cell_length_a 8.345
_cell_length_b 8.345
_cell_length_c 8.345
_cell_angle_alpha 90.00
_cell_angle_beta 90.00
_cell_angle_gamma 90.00
loop_
_atom_site_label
_atom_site_type_symbol
_atom_site_fract_x
_atom_site_fract_y
_atom_site_fract_z
La1 La 0.000 0.000 0.000
La2 La 0.250 0.250 0.250
Tb1 Tb 0.000 0.000 0.500

=====

3.
# La3Tb7, optimized geometry, DFT PBE
# ΔE_f: 0.27 eV per formula unit
# Calculated total energy: -4.693 eV per atom
data_La3Tb7
_chemical_formula_sum 'La6 Tb14'
_symmetry_space_group_name_H-M 'C 1 2/m 1'
_symmetry_Int_Tables_number 12
_cell_length_a 18.473
_cell_length_b 5.137
_cell_length_c 7.217
_cell_angle_alpha 90.00
_cell_angle_beta 101.82
_cell_angle_gamma 90.00
loop_
_symmetry_equiv_pos_as_xyz
'x,y,z'
'-x,-y,-z'
'-x,y,-z'
'x,-y,z'
'x+1/2,y+1/2,z'
'-x+1/2,-y+1/2,-z'
'-x+1/2,y+1/2,-z'
'x+1/2,-y+1/2,z'
loop_
_atom_site_label
_atom_site_type_symbol
_atom_site_fract_x
_atom_site_fract_y
_atom_site_fract_z
La1 La 0.000 0.000 0.000
La2 La 0.198 0.000 0.601
Tb1 Tb 0.000 0.000 0.500
Tb2 Tb 0.099 0.500 0.300
Tb3 Tb 0.100 0.500 0.801
Tb4 Tb 0.200 0.000 0.100

=====

4.
# La7Tb, optimized geometry, DFT PBE
# ΔE_f: 0.08 eV per formula unit
# Calculated total energy: -4.880 eV per atom
data_La7Tb
_chemical_formula_sum 'La28 Tb4'
_symmetry_space_group_name_H-M 'F m -3 m'
_symmetry_Int_Tables_number 225
_symmetry_space_group_name_Hall '-F 4 2 3'
_cell_length_a 10.506
_cell_length_b 10.506
_cell_length_c 10.506
_cell_angle_alpha 90.00
_cell_angle_beta 90.00
_cell_angle_gamma 90.00
loop_
_atom_site_label
_atom_site_type_symbol
_atom_site_fract_x
_atom_site_fract_y
_atom_site_fract_z
La1 La 0.000 0.000 0.000
La2 La 0.000 0.250 0.250
Tb1 Tb 0.000 0.000 0.500

=====

5.
# LaTb2, optimized geometry, DFT PBE
# ΔE_f: 0.33 eV per formula unit
# Calculated total energy: -4.621 eV per atom
data_LaTb2
_chemical_formula_sum 'La4 Tb8'
_symmetry_space_group_name_H-M 'F m m m'
_symmetry_Int_Tables_number 69
_symmetry_space_group_name_Hall '-F 2 2'
_cell_length_a 5.971
_cell_length_b 5.982
_cell_length_c 11.417
_cell_angle_alpha 90.00
_cell_angle_beta 90.00
_cell_angle_gamma 90.00
loop_
_atom_site_label
_atom_site_type_symbol
_atom_site_fract_x
_atom_site_fract_y
_atom_site_fract_z
La1 La 0.000 0.000 0.000
Tb1 Tb 0.000 0.000 0.325

=====

6.
# LaTb2, optimized geometry, DFT PBE
# ΔE_f: 0.09 eV per formula unit
# Calculated total energy: -4.701 eV per atom
data_LaTb2
_chemical_formula_sum 'La4 Tb8'
_symmetry_space_group_name_H-M 'C m c m'
_symmetry_Int_Tables_number 63
_symmetry_space_group_name_Hall '-C 2c 2'
_cell_length_a 11.086
_cell_length_b 6.353
_cell_length_c 5.796
_cell_angle_alpha 90.00
_cell_angle_beta 90.00
_cell_angle_gamma 90.00
loop_
_atom_site_label
_atom_site_type_symbol
_atom_site_fract_x
_atom_site_fract_y
_atom_site_fract_z
La1 La 0.000 0.171 0.250
Tb1 Tb 0.169 0.334 0.750